Record 1
! Ti2MoPtC PBE-GGA optimized geometry; values from VASP
&SYSTEM
  ibrav = 0, nat = 5, ntyp = 4
/
ATOMIC_SPECIES
Mo 95.94 Mo.upf
C 12.01 C.upf
Pt 195.08 Pt.upf
Ti 47.87 Ti.upf
CELL_PARAMETERS angstrom
-2.5681 2.8125 -1.7421
-1.7196 -3.0189 -2.3387
-2.7346 -0.6954 2.9084
ATOMIC_POSITIONS crystal
Mo 0.0000 0.0000 0.5000
C 0.0000 0.0000 0.0000
Pt 0.5000 0.5000 0.5000
Ti 0.0000 0.5000 0.0000
Ti 0.5000 0.0000 0.0000
! M_tot: 0.000 μB per atom
! E_form: -0.557 eV/atom
! Space group: P4/mmm

=====

Record 2
! Zn2Co2Au PBE-GGA optimized geometry; values from VASP
&SYSTEM
  ibrav = 0, nat = 10, ntyp = 3
/
ATOMIC_SPECIES
Co 58.93 Co.upf
Zn 65.41 Zn.upf
Au 196.97 Au.upf
CELL_PARAMETERS angstrom
-6.3998 2.0277 -1.9137
-2.7865 -4.8168 4.2149
-0.0384 1.8485 2.0871
ATOMIC_POSITIONS crystal
Co 0.1655 0.6655 0.5000
Co 0.6655 0.8345 0.5000
Co 0.8345 0.3345 0.5000
Co 0.3345 0.1655 0.5000
Zn 0.3690 0.8690 0.0000
Zn 0.8690 0.6310 0.0000
Zn 0.6310 0.1310 0.0000
Zn 0.1310 0.3690 0.0000
Au 0.0000 0.0000 0.0000
Au 0.5000 0.5000 0.0000
! M_tot: 0.423 μB per atom
! E_form: 0.151 eV/atom
! Space group: P4/mbm

=====

Record 3
! Tl2HgIr PBE-GGA optimized geometry; values from VASP
&SYSTEM
  ibrav = 0, nat = 4, ntyp = 3
/
ATOMIC_SPECIES
Hg 200.59 Hg.upf
Ir 192.22 Ir.upf
Tl 204.38 Tl.upf
CELL_PARAMETERS angstrom
3.2977 0.0000 0.0000
0.0000 7.6894 -0.0166
0.0000 4.5264 3.7159
ATOMIC_POSITIONS crystal
Hg 0.5000 0.5000 0.5000
Ir 0.0000 0.0000 0.5000
Tl 0.0000 0.0000 0.0000
Tl 0.5000 0.5000 0.0000
! M_tot: 0.000 μB per atom
! E_form: 0.509 eV/atom
! Space group: P2/m

=====

Record 4
! Li2ErBi PBE-GGA optimized geometry; values from VASP
&SYSTEM
  ibrav = 0, nat = 4, ntyp = 3
/
ATOMIC_SPECIES
Li 6.94 Li.upf
Bi 208.98 Bi.upf
Er 167.26 Er.upf
CELL_PARAMETERS angstrom
-1.0764 -4.6650 -0.6271
2.3366 -1.0265 3.6257
-3.6362 0.5047 2.4864
ATOMIC_POSITIONS crystal
Li 0.0000 0.0000 0.5000
Li 0.0000 0.5000 0.0000
Bi 0.5000 0.0000 0.0000
Er 0.5000 0.5000 0.5000
! M_tot: 0.000 μB per atom
! E_form: -0.420 eV/atom
! Space group: P4/mmm

=====

| no. | total DFT energy (no corrections) (eV/atom) |
| --- | --- |
| 1 | -8.934 |
| 2 | -3.857 |
| 3 | -2.965 |
| 4 | -3.488 |